Entry 1:
PBE with a Hubbard U Zr2FeF, relaxed; space group = Fm-3m, No. 225; ρ = 6242 kg/m³; N(E_F) = 4.612 states/eV/cell
1.0
-0.2513 -0.2808 4.5760
-3.3720 2.1555 2.2506
-3.3629 -2.4274 1.9699
Zr Fe F
2 1 1
direct
0.2500 0.2500 0.2500 Zr
0.7500 0.7500 0.7500 Zr
0.5000 0.5000 0.5000 Fe
0.0000 0.0000 0.0000 F



Entry 2:
PBE with a Hubbard U Zr3FeF6, relaxed; space group = P-1, No. 2; ρ = 3221 kg/m³; N(E_F) = 4.306 states/eV/cell
1.0
6.2762 0.1213 -0.2580
3.1259 6.5597 2.2528
0.2397 3.2723 6.7933
F Zr Fe
6 3 1
direct
0.9158 0.1689 0.6373 F
0.0863 0.2849 0.9107 F
0.0842 0.8311 0.3627 F
0.3715 0.7154 0.0891 F
0.6285 0.2846 0.9109 F
0.9137 0.7151 0.0893 F
0.0000 0.5000 0.0000 Zr
0.0000 0.0000 0.5000 Zr
0.5000 0.5000 0.0000 Zr
0.0000 0.0000 0.0000 Fe



Entry 3:
PBE with a Hubbard U ZrFeF2, relaxed; space group = R-3m, No. 166; ρ = 4844 kg/m³; N(E_F) = 3.089 states/eV/cell
1.0
1.5321 6.4018 2.9604
0.8095 4.5648 5.5318
3.7813 4.4502 4.2417
Fe F Zr
1 2 1
direct
0.5000 0.5000 0.5000 Fe
0.8821 0.8821 0.8821 F
0.1179 0.1179 0.1179 F
0.0000 0.0000 0.0000 Zr



Entry 4:
PBE with a Hubbard U ZrFeF3, relaxed; space group = Pm-3m, No. 221; ρ = 5062 kg/m³; N(E_F) = 6.154 states/eV/cell
1.0
4.0603 0.0000 0.0000
0.0000 4.0603 0.0000
0.0000 0.0000 4.0603
F Zr Fe
3 1 1
direct
0.5000 0.0000 0.0000 F
0.0000 0.0000 0.5000 F
0.0000 0.5000 0.0000 F
0.5000 0.5000 0.5000 Zr
0.0000 0.0000 0.0000 Fe



Entry 5:
PBE with a Hubbard U ZrFeF3, relaxed; space group = Pm-3m, No. 221; ρ = 4115 kg/m³; N(E_F) = 10.182 states/eV/cell
1.0
-1.7106 -1.0871 3.8494
0.7992 -4.1952 -0.8296
3.9194 0.3810 1.8493
F Zr Fe
3 1 1
direct
0.0000 0.0000 0.5000 F
0.5000 0.0000 0.0000 F
0.0000 0.5000 0.0000 F
0.0000 0.0000 0.0000 Zr
0.5000 0.5000 0.5000 Fe



Entry 6:
PBE with a Hubbard U Zr2FeF, relaxed; space group = I-42d, No. 122; ρ = 5548 kg/m³; N(E_F) = 6.064 states/eV/cell
1.0
-2.7262 -0.4032 -4.1880
4.2045 -0.4419 -2.6944
0.5528 -6.5066 -2.7342
Zr F Fe
4 2 2
direct
0.8750 0.8436 0.7500 Zr
0.1564 0.6250 0.2500 Zr
0.3750 0.4064 0.7500 Zr
0.5936 0.1250 0.2500 Zr
0.2500 0.7500 0.5000 F
0.5000 0.5000 0.0000 F
0.7500 0.2500 0.5000 Fe
0.0000 0.0000 0.0000 Fe



Entry 7:
PBE with a Hubbard U ZrFeF2, relaxed; space group = Fm-3m, No. 225; ρ = 5599 kg/m³; N(E_F) = 1.449 states/eV/cell
1.0
3.8253 -1.2342 1.4285
1.1366 0.8155 4.0298
0.2973 -3.1877 2.8189
Fe Zr F
1 1 2
direct
0.0000 0.0000 0.0000 Fe
0.5000 0.5000 0.5000 Zr
0.7500 0.7500 0.7500 F
0.2500 0.2500 0.2500 F



Entry 8:
PBE with a Hubbard U Zr3FeF, relaxed; space group = Pm-3m, No. 221; ρ = 6219 kg/m³; N(E_F) = 7.196 states/eV/cell
1.0
-1.3987 2.9782 3.1158
1.4306 -2.7693 3.2892
4.0659 1.9989 -0.0854
Zr Fe F
3 1 1
direct
0.5000 0.0000 0.0000 Zr
0.0000 0.5000 0.0000 Zr
0.0000 0.0000 0.5000 Zr
0.5000 0.5000 0.5000 Fe
0.0000 0.0000 0.0000 F



Entry 9:
PBE with a Hubbard U ZrFeF6, relaxed; space group = C2/m, No. 12; ρ = 3077 kg/m³; N(E_F) = 0.000 states/eV/cell
1.0
5.8408 -0.0165 0.0279
2.9148 5.0615 0.0279
2.9440 1.6963 4.7760
F Zr Fe
6 1 1
direct
0.7501 0.7501 0.2491 F
0.2550 0.7458 0.2542 F
0.7458 0.2550 0.2542 F
0.2542 0.7450 0.7458 F
0.7450 0.2542 0.7458 F
0.2499 0.2499 0.7509 F
0.5000 0.5000 0.5000 Zr
0.0000 0.0000 0.0000 Fe



Entry 10:
PBE with a Hubbard U ZrFeF2, relaxed; space group = I-42d, No. 122; ρ = 4529 kg/m³; N(E_F) = 3.918 states/eV/cell
1.0
-5.0677 0.2722 1.2210
-1.0814 -3.5143 -3.7049
-2.4744 -5.2951 2.0679
F Fe Zr
4 2 2
direct
0.8750 0.8547 0.7500 F
0.1453 0.6250 0.2500 F
0.6047 0.1250 0.2500 F
0.3750 0.3953 0.7500 F
0.5000 0.5000 0.0000 Fe
0.2500 0.7500 0.5000 Fe
0.0000 0.0000 0.0000 Zr
0.7500 0.2500 0.5000 Zr



Entry 11:
PBE with a Hubbard U Zr2FeF11, relaxed; space group = Ibam, No. 72; ρ = 3707 kg/m³; N(E_F) = 0.000 states/eV/cell
1.0
2.4225 -5.4532 5.2635
-0.4068 -7.8876 -1.9705
7.6839 -2.6712 -0.2899
F Zr Fe
22 4 2
direct
0.0520 0.2350 0.5036 F
0.9480 0.7650 0.4964 F
0.5757 0.7570 0.5497 F
0.8824 0.4503 0.2430 F
0.2095 0.5036 0.2350 F
0.2905 0.2650 0.9964 F
0.9243 0.9503 0.7430 F
0.1382 0.2158 0.7842 F
0.8618 0.7842 0.2158 F
0.7905 0.4964 0.7650 F
0.0000 0.0000 0.0000 F
0.3618 0.7158 0.2842 F
0.4480 0.9964 0.2650 F
0.6176 0.2570 0.0497 F
0.3824 0.7430 0.9503 F
0.5520 0.0036 0.7350 F
0.6382 0.2842 0.7158 F
0.7095 0.7350 0.0036 F
0.1176 0.5497 0.7570 F
0.0757 0.0497 0.2570 F
0.5000 0.5000 0.5000 F
0.4243 0.2430 0.4503 F
0.3765 0.3098 0.6902 Zr
0.8765 0.1902 0.8098 Zr
0.1235 0.8098 0.1902 Zr
0.6235 0.6902 0.3098 Zr
0.2500 0.2500 0.2500 Fe
0.7500 0.7500 0.7500 Fe



Entry 12:
PBE with a Hubbard U Zr3FeF6, relaxed; space group = C2/m, No. 12; ρ = 4539 kg/m³; N(E_F) = 6.126 states/eV/cell
1.0
7.4801 3.2229 -1.3893
-7.4801 3.2229 -1.3893
0.0000 -4.4055 5.2640
Zr F Fe
3 6 1
direct
0.0000 0.0000 0.5000 Zr
0.5000 0.0000 0.0000 Zr
0.0000 0.5000 0.0000 Zr
0.3744 0.3744 0.5690 F
0.6256 0.6256 0.4310 F
0.9417 0.7062 0.1666 F
0.2938 0.0583 0.8334 F
0.7062 0.9417 0.1666 F
0.0583 0.2938 0.8334 F
0.0000 0.0000 0.0000 Fe



We obtain VASP energy values of -6.189; -6.368; -5.844; -4.803; -5.619; -5.913; -5.491; -6.875; -6.429; -5.600; -6.340; -6.348 eV per atom for the records listed above, in that order.